A relaxed CaMnAsSe2 crystal. Source: the Alexandria database, functional PBE-GGA.

```
5
Lattice="5.3603 0.0000 0.0000 0.0000 5.3603 0.0000 0.0000 0.0000 5.3454" Properties=species:S:1:pos:R:3 pbc="T T T"
Mn 2.6802 2.6802 2.6727
As 0.0000 0.0000 2.6727
Ca 0.0000 0.0000 0.0000
Se 2.6802 0.0000 0.0000
Se 0.0000 2.6802 0.0000
```

Results
V = 154 Å³/cell
offset from the most stable computed form = 1027.1 meV/atom
spin magnetization = 0.8468 μB per atom
raw formation energy = 0.501 eV per atom